This record from OQMD via LeMat-Bulk describes crystalline NdTmAl at its relaxed geometry. The functional is GGA-PBE.

Calculated values
volume: 92 Å³/f.u.
final energy: -3.8470 eV/atom
total magnetic moment: 0.88 μB/f.u.

a b c (Å): 7.156 7.156 7.156
angles (deg): 90.00 90.00 90.00
Space group F-43m (No. 216)
Unique sites:
Nd 0.000 0.000 0.000 x4
Tm 0.250 0.250 0.750 x4
Al 0.000 0.000 0.500 x4